(1)
Material: Ho2Cd6Ag
Method: DFT, GGA-PBE
State: optimized geometry

```
Ho2Cd6Ag
1.0
3.2769 0.0007 0.0024
0.0052 7.4558 4.2869
0.0037 0.0146 8.6004
Ho Cd Ag
2 6 1
direct
0.0000 0.3333 0.3333
0.0000 0.6667 0.6667
0.4986 0.6722 0.0000
0.5014 0.0000 0.3278
0.5014 0.3278 0.0000
0.5000 0.6721 0.3279
0.4986 0.0000 0.6722
0.5000 0.3279 0.6721
0.0000 0.0000 0.0000
```

Results
The formation energy comes out at -0.18 eV per atom. The calculation puts the theoretical density at 8.80 g/cm³. As for the symmetry: C2/m.

=====

(2)
Material: Ho4Cd5Ag2
Method: DFT, GGA-PBE
State: optimized geometry

```
Ho4Cd5Ag2
1.0
-0.3885 -0.6860 -3.4060
5.9421 -4.9151 0.3122
-6.8584 -6.9742 2.1869
Ho Cd Ag
4 5 2
direct
0.5000 0.7413 0.5557
0.5000 0.1675 0.8748
0.5000 0.2587 0.4443
0.5000 0.8325 0.1252
0.0000 0.5558 0.3021
0.0000 0.1903 0.1578
0.0000 0.5000 0.0000
0.0000 0.8097 0.8422
0.0000 0.4442 0.6979
0.0000 0.0625 0.6366
0.0000 0.9375 0.3634
```

Results
The formation energy comes out at -0.26 eV per atom. The calculation puts the theoretical density at 8.85 g/cm³. As for the symmetry: P2/m.

=====

(3)
Material: HoCd5Ag4
Method: DFT, GGA-PBE
State: optimized geometry

```
HoCd5Ag4
1.0
-1.4696 1.9650 -3.8370
-6.8727 -1.2071 2.0141
0.4744 5.1624 5.1652
Ho Cd Ag
1 5 4
direct
0.5000 0.0000 0.0000
0.1719 0.9837 0.3438
0.1696 0.5289 0.3391
0.8304 0.4711 0.6609
0.5000 0.5000 0.0000
0.8281 0.0163 0.6562
0.6637 0.2556 0.3275
0.9867 0.7372 0.9735
0.3363 0.7444 0.6725
0.0133 0.2628 0.0265
```

Results
The formation energy comes out at -0.05 eV per atom. The calculation puts the theoretical density at 8.36 g/cm³. As for the symmetry: C2/m.

=====

(4)
Material: Ho4CdAg5
Method: DFT, GGA-PBE
State: optimized geometry

```
Ho4CdAg5
1.0
3.5714 0.0000 0.0000
0.0000 3.5714 0.0000
0.0000 0.0000 17.9335
Ho Cd Ag
4 1 5
direct
0.0000 0.0000 0.1909
0.0000 0.0000 0.3968
0.0000 0.0000 0.6032
0.0000 0.0000 0.8091
0.0000 0.0000 0.0000
0.5000 0.5000 0.0912
0.5000 0.5000 0.2935
0.5000 0.5000 0.5000
0.5000 0.5000 0.7065
0.5000 0.5000 0.9088
```

Results
The formation energy comes out at -0.28 eV per atom. The calculation puts the theoretical density at 9.52 g/cm³. As for the symmetry: P4/mmm.

=====

(5)
Material: Ho4CdAg3
Method: DFT, GGA-PBE
State: optimized geometry

```
Ho4CdAg3
1.0
-0.0451 3.1125 1.8818
-3.9558 -1.7611 2.8182
6.6338 -4.0162 6.8019
Ho Ag Cd
4 3 1
direct
0.0000 0.0000 0.5000
0.0000 0.5000 0.7441
0.0000 0.0000 0.0000
0.0000 0.5000 0.2559
0.5000 0.0000 0.2473
0.5000 0.5000 0.5000
0.5000 0.0000 0.7527
0.5000 0.5000 0.0000
```

Results
The formation energy comes out at -0.32 eV per atom. The calculation puts the theoretical density at 9.39 g/cm³. As for the symmetry: Pmmm. The offset from the most stable computed form comes out at 0.0 meV/atom.

=====

(6)
Material: HoCd4Ag2
Method: DFT, GGA-PBE
State: optimized geometry

```
HoCd4Ag2
1.0
5.8926 0.2107 0.3608
2.4690 4.9481 -0.4957
-1.5267 -1.8109 5.4118
Ho Cd Ag
1 4 2
direct
0.0000 0.0000 0.0000
0.6074 0.6972 0.0014
0.3926 0.3028 0.9986
0.0014 0.3028 0.6074
0.9986 0.6972 0.3926
0.5007 0.7486 0.4993
0.4993 0.2514 0.5007
```

Results
The formation energy comes out at -0.15 eV per atom. The calculation puts the theoretical density at 9.13 g/cm³. As for the symmetry: C2/m.